(1)
Ba2Na2InPb4 | GGA-PBE | relaxed

As for the total magnetization: 0.00 μB/atom. The formation energy comes out at -0.28 eV per atom.

Cell lengths 7.589, 7.589, 7.589 Å; angles 91.53, 119.12, 119.12 degrees
Atoms (fractional coordinates):
In: 0.000 0.000 0.000
Na: 0.000 0.287 0.287
Na: 0.000 0.713 0.713
Pb: 0.000 0.721 0.279
Pb: 0.000 0.279 0.721
Pb: 0.558 0.279 0.279
Pb: 0.442 0.721 0.721
Ba: 0.500 0.250 0.750
Ba: 0.500 0.750 0.250

(2)
Li3SiRu | GGA-PBE | relaxed

For the energy above the lowest structure with this stoichiometry, the calculation gives 0.42 eV per formula unit. As for the total magnetization: 0.00 μB/atom. As for the uncorrected formation energy: 0.978 eV per atom.

Cell lengths 4.472, 4.472, 4.472 Å; angles 90.00, 90.00, 90.00 degrees
Atoms (fractional coordinates):
Li: 0.000 0.000 0.500
Li: 0.000 0.500 0.000
Li: 0.500 0.000 0.000
Ru: 0.000 0.000 0.000
Si: 0.500 0.500 0.500